Entry 1:
A plane-wave DFT calculation with PBE-GGA was carried out for a relaxed structure of Sc2AgOs.

Unit cell a=4.664 b=4.664 c=4.664 alpha=60.00 beta=60.00 gamma=60.00
Positions (direct):
Sc  0.000  0.000  0.000
Sc  0.250  0.250  0.250
Ag  0.750  0.750  0.750
Os  0.500  0.500  0.500

Symmetry: F-43m, No. 216
Calculated formation energy: 64 meV/atom
Energy relative to the lowest polymorph listed for this composition: 510 meV per atom
VASP energy: -6.622 eV/atom
Total magnetic moment: 0.000 μB/f.u.

=====

Entry 2:
A plane-wave DFT calculation with PBE-GGA was carried out for a relaxed structure of ScAg2Os.

Unit cell a=2.887 b=4.061 c=5.940 alpha=90.00 beta=90.24 gamma=90.00
Positions (direct):
Sc  0.000  0.000  0.000
Ag  0.000  0.000  0.522
Ag  0.500  0.500  0.285
Os  0.500  0.500  0.786

Symmetry: Pm, No. 6
Calculated formation energy: 121 meV/atom
Energy relative to the lowest polymorph listed for this composition: 21 meV per atom
VASP energy: -5.695 eV/atom
Total magnetic moment: 0.000 μB/f.u.

=====

Entry 3:
A plane-wave DFT calculation with PBE-GGA was carried out for a relaxed structure of ScAg2Os.

Unit cell a=3.563 b=3.563 c=5.535 alpha=90.00 beta=90.00 gamma=90.00
Positions (direct):
Sc  0.000  0.000  0.000
Ag  0.500  0.500  0.257
Ag  0.500  0.500  0.743
Os  0.000  0.000  0.500

Symmetry: P4/mmm, No. 123
Calculated formation energy: 344 meV/atom
Energy relative to the lowest polymorph listed for this composition: 245 meV per atom
VASP energy: -5.472 eV/atom
Total magnetic moment: 0.000 μB/f.u.

=====

Entry 4:
A plane-wave DFT calculation with PBE-GGA was carried out for a relaxed structure of ScAgOs.

Unit cell a=4.415 b=4.415 c=4.415 alpha=60.00 beta=60.00 gamma=60.00
Positions (direct):
Sc  0.000  0.000  0.000
Ag  0.250  0.250  0.250
Os  0.750  0.750  0.750

Symmetry: F-43m, No. 216
Calculated formation energy: 794 meV/atom
Energy relative to the lowest polymorph listed for this composition: 651 meV per atom
VASP energy: -6.010 eV/atom
Total magnetic moment: 0.000 μB/f.u.

=====

Entry 5:
A plane-wave DFT calculation with PBE-GGA was carried out for a relaxed structure of Sc4Ag3Os.

Unit cell a=3.313 b=3.313 c=14.065 alpha=90.00 beta=90.00 gamma=90.00
Positions (direct):
Sc  0.000  0.000  0.109
Sc  0.000  0.000  0.372
Sc  0.000  0.000  0.628
Sc  0.000  0.000  0.891
Ag  0.500  0.500  0.244
Ag  0.500  0.500  0.500
Ag  0.500  0.500  0.756
Os  0.500  0.500  0.000

Symmetry: P4/mmm, No. 123
Calculated formation energy: -343 meV/atom
VASP energy: -5.982 eV/atom
Total magnetic moment: 0.000 μB/f.u.

=====

Entry 6:
A plane-wave DFT calculation with PBE-GGA was carried out for a relaxed structure of ScAg2Os.

Unit cell a=3.950 b=3.950 c=4.371 alpha=90.00 beta=90.00 gamma=90.00
Positions (direct):
Sc  0.000  0.000  0.000
Ag  0.000  0.500  0.500
Ag  0.500  0.000  0.500
Os  0.500  0.500  0.000

Symmetry: P4/mmm, No. 123
Calculated formation energy: 100 meV/atom
Energy relative to the lowest polymorph listed for this composition: 0 meV per atom
VASP energy: -5.716 eV/atom
Total magnetic moment: 0.002 μB/f.u.

=====

Entry 7:
A plane-wave DFT calculation with PBE-GGA was carried out for a relaxed structure of Sc2AgOs.

Unit cell a=3.183 b=4.226 c=5.659 alpha=90.00 beta=90.00 gamma=90.00
Positions (direct):
Sc  0.000  0.000  0.000
Sc  0.500  0.500  0.334
Ag  0.000  0.000  0.528
Os  0.500  0.500  0.863

Symmetry: Pmm2, No. 25
Calculated formation energy: -60 meV/atom
Energy relative to the lowest polymorph listed for this composition: 386 meV per atom
VASP energy: -6.746 eV/atom
Total magnetic moment: 0.000 μB/f.u.

=====

Entry 8:
A plane-wave DFT calculation with PBE-GGA was carried out for a relaxed structure of ScAg2Os.

Unit cell a=2.820 b=2.820 c=8.746 alpha=90.00 beta=90.00 gamma=90.00
Positions (direct):
Sc  0.000  0.000  0.000
Ag  0.500  0.500  0.257
Ag  0.500  0.500  0.743
Os  0.000  0.000  0.500

Symmetry: P4/mmm, No. 123
Calculated formation energy: 485 meV/atom
Energy relative to the lowest polymorph listed for this composition: 385 meV per atom
VASP energy: -5.331 eV/atom
Total magnetic moment: 1.013 μB/f.u.

=====

Entry 9:
A plane-wave DFT calculation with PBE-GGA was carried out for a relaxed structure of ScAg3Os.

Unit cell a=4.857 b=4.857 c=4.857 alpha=90.00 beta=90.00 gamma=90.00
Positions (direct):
Sc  0.000  0.000  0.000
Ag  0.000  0.000  0.500
Ag  0.000  0.500  0.000
Ag  0.500  0.000  0.000
Os  0.500  0.500  0.500

Symmetry: Pm-3m, No. 221
Calculated formation energy: 1858 meV/atom
Energy relative to the lowest polymorph listed for this composition: 645 meV per atom
VASP energy: -3.365 eV/atom
Total magnetic moment: 1.926 μB/f.u.

=====

Entry 10:
A plane-wave DFT calculation with PBE-GGA was carried out for a relaxed structure of ScAgOs.

Unit cell a=3.018 b=3.018 c=6.798 alpha=90.00 beta=90.00 gamma=120.00
Positions (direct):
Sc  0.000  0.000  0.000
Ag  0.667  0.333  0.364
Os  0.333  0.667  0.714

Symmetry: P3m1, No. 156
Calculated formation energy: 236 meV/atom
Energy relative to the lowest polymorph listed for this composition: 92 meV per atom
VASP energy: -6.568 eV/atom
Total magnetic moment: 0.000 μB/f.u.

=====

Entry 11:
A plane-wave DFT calculation with PBE-GGA was carried out for a relaxed structure of Sc5AgOs4.

Unit cell a=3.242 b=3.242 c=16.553 alpha=90.00 beta=90.00 gamma=90.00
Positions (direct):
Sc  0.000  0.000  0.000
Sc  0.000  0.000  0.192
Sc  0.000  0.000  0.381
Sc  0.000  0.000  0.619
Sc  0.000  0.000  0.808
Ag  0.500  0.500  0.500
Os  0.500  0.500  0.097
Os  0.500  0.500  0.293
Os  0.500  0.500  0.707
Os  0.500  0.500  0.903

Symmetry: P4/mmm, No. 123
Calculated formation energy: -383 meV/atom
VASP energy: -8.326 eV/atom
Total magnetic moment: 0.000 μB/f.u.

=====

Entry 12:
A plane-wave DFT calculation with PBE-GGA was carried out for a relaxed structure of ScAg2Os.

Unit cell a=5.031 b=5.031 c=2.961 alpha=90.00 beta=90.00 gamma=113.92
Positions (direct):
Sc  0.000  0.000  0.000
Ag  0.000  0.500  0.500
Ag  0.500  0.000  0.500
Os  0.500  0.500  0.000

Symmetry: Cmmm, No. 65
Calculated formation energy: 267 meV/atom
Energy relative to the lowest polymorph listed for this composition: 167 meV per atom
VASP energy: -5.549 eV/atom
Total magnetic moment: 0.307 μB/f.u.